Entry 1:
Below is a relaxed structure of Mg2BiIrOs, with properties calculated at the GGA-PBE level.

ΔE_f: 1.881 eV per atom

Cell: 5.2357 5.2357 4.9608 Å, 90.00 90.00 90.00°
Fractional coordinates of all 5 atoms:
Mg 0.0000 0.5000 0.0000
Mg 0.5000 0.0000 0.0000
Bi 0.0000 0.0000 0.0000
Ir 0.0000 0.0000 0.5000
Os 0.5000 0.5000 0.5000

***

Entry 2:
Below is a relaxed structure of MgBi2SbIr, with properties calculated at the GGA-PBE level.

raw formation energy: 909 meV/atom

Cell: 5.8857 5.8857 4.8617 Å, 90.00 90.00 90.00°
Fractional coordinates of all 5 atoms:
Mg 0.0000 0.0000 0.0000
Bi 0.0000 0.5000 0.5000
Bi 0.5000 0.0000 0.5000
Sb 0.5000 0.5000 0.5000
Ir 0.5000 0.5000 0.0000

***

Entry 3:
Below is a relaxed structure of MgSi2BiIr, with properties calculated at the GGA-PBE level.

raw formation energy: 1881 meV/atom

Cell: 5.2654 5.2654 5.1344 Å, 90.00 90.00 90.00°
Fractional coordinates of all 5 atoms:
Mg 0.0000 0.0000 0.0000
Si 0.0000 0.5000 0.5000
Si 0.5000 0.0000 0.5000
Bi 0.0000 0.0000 0.5000
Ir 0.5000 0.5000 0.0000

***

Entry 4:
Below is a relaxed structure of YMg2BiIr, with properties calculated at the GGA-PBE level.

ΔE_f: 0.013 eV per atom

Cell: 4.9288 4.9288 5.3913 Å, 90.00 90.00 90.00°
Fractional coordinates of all 5 atoms:
Y 0.0000 0.0000 0.0000
Mg 0.0000 0.5000 0.5000
Mg 0.5000 0.0000 0.5000
Bi 0.5000 0.5000 0.0000
Ir 0.5000 0.5000 0.5000

***

Entry 5:
Below is a relaxed structure of Mn2BiIr2, with properties calculated at the GGA-PBE level.

E above lowest polymorph: 17.6 kJ/mol of atoms
ΔE_f: 0.420 eV per atom

Cell: 7.4845 7.4845 2.7929 Å, 90.00 90.00 90.00°
Fractional coordinates of all 10 atoms:
Mn 0.1643 0.3357 0.0000
Mn 0.3357 0.8357 0.0000
Mn 0.6643 0.1643 0.0000
Mn 0.8357 0.6643 0.0000
Bi 0.0000 0.0000 0.5000
Bi 0.5000 0.5000 0.5000
Ir 0.1267 0.6267 0.5000
Ir 0.3733 0.1267 0.5000
Ir 0.6267 0.8733 0.5000
Ir 0.8733 0.3733 0.5000

***

Entry 6:
Below is a relaxed structure of MnBiIr2, with properties calculated at the GGA-PBE level.

ΔE_f: 0.784 eV per atom

Cell: 6.8279 6.8279 6.8279 Å, 129.82 129.82 73.70°
Fractional coordinates of all 8 atoms:
Mn 0.0000 0.0000 0.0000
Mn 0.7500 0.2500 0.5000
Bi 0.2500 0.7500 0.5000
Bi 0.5000 0.5000 0.0000
Ir 0.0622 0.6250 0.9372
Ir 0.3750 0.3122 0.4372
Ir 0.6878 0.1250 0.0628
Ir 0.8750 0.9378 0.5628

***

Entry 7:
Below is a relaxed structure of Mn2BiIr2, with properties calculated at the GGA-PBE level.

E above lowest polymorph: 0.0 kJ/mol of atoms
ΔE_f: 0.238 eV per atom

Cell: 7.6022 7.6022 2.9288 Å, 90.00 90.00 90.00°
Fractional coordinates of all 10 atoms:
Mn 0.1487 0.3513 0.0000
Mn 0.3513 0.8513 0.0000
Mn 0.6487 0.1487 0.0000
Mn 0.8513 0.6487 0.0000
Bi 0.0000 0.0000 0.0000
Bi 0.5000 0.5000 0.0000
Ir 0.1384 0.6384 0.5000
Ir 0.3616 0.1384 0.5000
Ir 0.6384 0.8616 0.5000
Ir 0.8616 0.3616 0.5000

***

Entry 8:
Below is a relaxed structure of MnBi3Ir, with properties calculated at the GGA-PBE level.

E above lowest polymorph: 0.0 kJ/mol of atoms
ΔE_f: 0.819 eV per atom

Cell: 5.3798 5.3798 5.3798 Å, 90.00 90.00 90.00°
Fractional coordinates of all 5 atoms:
Mn 0.0000 0.0000 0.0000
Bi 0.0000 0.5000 0.5000
Bi 0.5000 0.0000 0.5000
Bi 0.5000 0.5000 0.0000
Ir 0.5000 0.5000 0.5000

***

The calculation returns the following M_tot values, one per record and in order: 2.92, 0.00, 0.00, 0.00, 0.01, 0.00, 14.65, 4.30 μB/cell.